Computed, not measured: a geometry-optimized LiZr2TiCo structure at the PBEsol level of DFT.

a = 4.9671 Å, b = 4.9671 Å, c = 4.1258 Å
α = 90.00°, β = 90.00°, γ = 90.00°
Atoms (fractional coordinates):
Li1 0.0000 0.0000 0.0000
Zr1 0.0000 0.5000 0.5000
Zr2 0.5000 0.0000 0.5000
Ti1 0.5000 0.5000 0.5000
Co1 0.5000 0.5000 0.0000

Output
magnetic moment = 0.00 Bohr magnetons per cell
calculated formation energy = 371 kJ/mol of formula units
raw total energy = -32.362 eV per cell
SG = No. 123



Computed, not measured: a geometry-optimized LiTlCo structure at the PBEsol level of DFT.

a = 4.8163 Å, b = 4.8163 Å, c = 4.8163 Å
α = 140.50°, β = 140.50°, γ = 57.09°
Atoms (fractional coordinates):
Li1 0.0000 0.0000 0.0000
Tl1 0.3185 0.3185 0.0000
Co1 0.6482 0.6482 0.0000

Output
magnetic moment = 0.94 Bohr magnetons per cell
calculated formation energy = 81 kJ/mol of formula units
raw total energy = -11.497 eV per cell
SG = No. 107



Computed, not measured: a geometry-optimized Li2TlCo structure at the PBEsol level of DFT.

a = 3.2077 Å, b = 3.2077 Å, c = 5.9941 Å
α = 90.00°, β = 90.00°, γ = 90.00°
Atoms (fractional coordinates):
Li1 0.0000 0.0000 0.0000
Li2 0.5000 0.5000 0.2574
Tl1 0.0000 0.0000 0.5460
Co1 0.5000 0.5000 0.7848

Output
magnetic moment = 0.72 Bohr magnetons per cell
calculated formation energy = 79 kJ/mol of formula units
raw total energy = -13.481 eV per cell
SG = No. 99



Computed, not measured: a geometry-optimized Li2TlCo structure at the PBEsol level of DFT.

a = 5.3435 Å, b = 5.3435 Å, c = 2.8931 Å
α = 103.54°, β = 103.54°, γ = 121.16°
Atoms (fractional coordinates):
Li1 0.0000 0.5000 0.0000
Li2 0.5000 0.0000 0.0000
Tl1 0.0000 0.0000 0.5000
Co1 0.5000 0.5000 0.5000

Output
magnetic moment = 1.18 Bohr magnetons per cell
calculated formation energy = 75 kJ/mol of formula units
raw total energy = -13.519 eV per cell
SG = No. 12



Computed, not measured: a geometry-optimized Li2TlCo structure at the PBEsol level of DFT.

a = 3.4509 Å, b = 3.9906 Å, c = 4.3079 Å
α = 90.00°, β = 90.00°, γ = 90.00°
Atoms (fractional coordinates):
Li1 0.0000 0.0000 0.0000
Li2 0.5000 0.5000 0.0000
Tl1 0.0000 0.5000 0.5000
Co1 0.5000 0.0000 0.5000

Output
magnetic moment = 0.71 Bohr magnetons per cell
calculated formation energy = 43 kJ/mol of formula units
raw total energy = -13.854 eV per cell
SG = No. 47



Computed, not measured: a geometry-optimized LiCoW2 structure at the PBEsol level of DFT.

a = 2.6243 Å, b = 3.7902 Å, c = 5.3303 Å
α = 90.00°, β = 90.00°, γ = 90.00°
Atoms (fractional coordinates):
Li1 0.0000 0.0000 0.0000
Co1 0.5000 0.5000 0.7813
W1 0.0000 0.0000 0.5319
W2 0.5000 0.5000 0.2394

Output
magnetic moment = 0.00 Bohr magnetons per cell
calculated formation energy = 169 kJ/mol of formula units
raw total energy = -35.564 eV per cell
SG = No. 25



Computed, not measured: a geometry-optimized LiCoW2 structure at the PBEsol level of DFT.

a = 2.6108 Å, b = 4.1896 Å, c = 4.7993 Å
α = 90.00°, β = 97.26°, γ = 90.00°
Atoms (fractional coordinates):
Li1 0.0000 0.0000 0.0000
Co1 0.0690 0.5000 0.7289
W1 0.4226 0.0000 0.5172
W2 0.6416 0.5000 0.2100

Output
magnetic moment = 0.00 Bohr magnetons per cell
calculated formation energy = 127 kJ/mol of formula units
raw total energy = -36.001 eV per cell
SG = No. 6



Computed, not measured: a geometry-optimized LiCo2W structure at the PBEsol level of DFT.

a = 4.0169 Å, b = 4.0169 Å, c = 4.0169 Å
α = 60.00°, β = 60.00°, γ = 60.00°
Atoms (fractional coordinates):
Li1 0.0000 0.0000 0.0000
Co1 0.2500 0.2500 0.2500
Co2 0.5000 0.5000 0.5000
W1 0.7500 0.7500 0.7500

Output
magnetic moment = 2.58 Bohr magnetons per cell
calculated formation energy = 152 kJ/mol of formula units
raw total energy = -29.669 eV per cell
SG = No. 216



- Which value of magnetic moment does entry 3 give?
  0.72 Bohr magnetons per cell